Below is a geometry-optimized CaCd3Au2 structure, with properties calculated at the GGA-PBE level.

It has space group C2/m (No. 12), with a = 17.1538 Å, b = 4.0823 Å, c = 9.5450 Å, α = 90.00°, β = 123.26° and γ = 90.00°. Symmetry generates all atoms from Ca at (0.1356, 0.0000, 0.1351), Cd at (0.0015, 0.0000, 0.6500), Cd at (0.1727, 0.5000, 0.4609), Cd at (0.1736, 0.5000, 0.8826), Au at (0.0005, 0.5000, 0.8563) and Au at (0.1949, 0.0000, 0.6926).

The formation energy comes out at -0.394 eV/atom. The value obtained for the density of states at the Fermi level is 9.0 states/eV/cell. The calculation puts the electronic total energy at -2.2781 eV per atom. The magnetization is 0.0000 μB per atom. As for the crystal system: monoclinic.

Below is a geometry-optimized CsPaRu2O8 structure, with properties calculated at the GGA-PBE level.

It has space group P-3m1 (No. 164), with a = 5.9421 Å, b = 5.9421 Å, c = 8.6204 Å, α = 90.00°, β = 90.00° and γ = 120.00°. Symmetry generates all atoms from Cs at (0.0000, 0.0000, 0.0000), Pa at (0.0000, 0.0000, 0.5000), Ru at (0.3333, 0.6667, 0.7403), O at (0.1692, 0.3384, 0.6493) and O at (0.3333, 0.6667, 0.9422).

The value obtained for the density of states at the Fermi level is 9.7 states/eV/cell. The calculation puts the electronic total energy at -7.3646 eV per atom. For the energy relative to the elements, uncorrected, the calculation gives -1651 meV/atom. The magnetization is 0.1452 μB per atom. As for the crystal system: trigonal.

Below is a geometry-optimized Ba4YbPrCu6O14 structure, with properties calculated at the GGA-PBE level.

It has space group Cmmm (No. 65), with a = 7.7404 Å, b = 7.8788 Å, c = 11.8730 Å, α = 90.00°, β = 90.00° and γ = 90.00°. Symmetry generates all atoms from Ba at (0.0000, 0.0000, 0.1796), Ba at (0.0000, 0.5000, 0.1831), Yb at (0.0000, 0.5000, 0.5000), Pr at (0.0000, 0.0000, 0.5000), Cu at (0.2500, 0.2500, 0.0000), Cu at (0.2500, 0.2500, 0.3497), O at (0.0000, 0.2532, 0.3739), O at (0.2457, 0.5000, 0.3726), O at (0.2468, 0.0000, 0.0000) and O at (0.2500, 0.2500, 0.1577).

The value obtained for the density of states at the Fermi level is 47.6 states/eV/cell. The calculation puts the electronic total energy at -5.8655 eV per atom. For the energy relative to the elements, uncorrected, the calculation gives -1712 meV/atom. The magnetization is 0.0303 μB per atom. As for the crystal system: orthorhombic.

Below is a geometry-optimized Pm4Cu2Pt5 structure, with properties calculated at the GGA-PBE level.

It has space group P2/m (No. 10), with a = 7.2096 Å, b = 3.9095 Å, c = 8.3338 Å, α = 90.00°, β = 91.43° and γ = 90.00°. Symmetry generates all atoms from Pm at (0.2290, 0.0000, 0.3776), Pm at (0.2672, 0.0000, 0.8820), Cu at (0.0800, 0.5000, 0.1263), Pt at (0.1352, 0.5000, 0.6342), Pt at (0.4343, 0.5000, 0.1620) and Pt at (0.5000, 0.5000, 0.5000).

The formation energy comes out at -0.889 eV/atom. The value obtained for the density of states at the Fermi level is 4.1 states/eV/cell. The calculation puts the electronic total energy at -6.1070 eV per atom. The magnetization is 0.0000 μB per atom. As for the crystal system: monoclinic.

Below is a geometry-optimized TaCdSbI2 structure, with properties calculated at the GGA-PBE level.

It has space group P4/mmm (No. 123), with a = 5.5730 Å, b = 5.5730 Å, c = 5.4881 Å, α = 90.00°, β = 90.00° and γ = 90.00°. Symmetry generates all atoms from Ta at (0.0000, 0.0000, 0.0000), Cd at (0.5000, 0.5000, 0.5000), Sb at (0.0000, 0.0000, 0.5000) and I at (0.0000, 0.5000, 0.0000).

The value obtained for the density of states at the Fermi level is 2.7 states/eV/cell. The calculation puts the electronic total energy at -3.6744 eV per atom. For the energy relative to the elements, uncorrected, the calculation gives 324 meV/atom. For the energy above the most stable polymorph in this dataset, the calculation gives 0 meV/atom. The magnetization is 0.0000 μB per atom. As for the crystal system: tetragonal.

Below is a geometry-optimized TePBr2 structure, with properties calculated at the GGA-PBE level.

It has space group Fm-3m (No. 225), with a = 7.3073 Å, b = 7.3073 Å, c = 7.3073 Å, α = 90.00°, β = 90.00° and γ = 90.00°. Symmetry generates all atoms from Te at (0.0000, 0.0000, 0.0000), P at (0.0000, 0.0000, 0.5000) and Br at (0.2500, 0.2500, 0.2500).

The value obtained for the density of states at the Fermi level is 19.2 states/eV/cell. The calculation puts the electronic total energy at -2.1193 eV per atom. For the energy relative to the elements, uncorrected, the calculation gives 855 meV/atom. For the energy above the most stable polymorph in this dataset, the calculation gives 925 meV/atom. The magnetization is 0.1111 μB per atom. As for the crystal system: cubic.

Below is a geometry-optimized LaCeH6Rh2 structure, with properties calculated at the GGA-PBE level.

It has space group R-3m (No. 166, hexagonal axes), with a = 4.7279 Å, b = 4.7279 Å, c = 18.1085 Å, α = 90.00°, β = 90.00° and γ = 120.00°. Symmetry generates all atoms from La at (0.0000, 0.0000, 0.0000), Ce at (0.0000, 0.0000, 0.5000), H at (0.0014, 0.5007, 0.9398) and Rh at (0.0000, 0.0000, 0.2149).

The value obtained for the density of states at the Fermi level is 16.8 states/eV/cell. The calculation puts the electronic total energy at -5.0138 eV per atom. The magnetization is 0.0341 μB per atom. As for the crystal system: trigonal.

Below is a geometry-optimized Pm3TmCu2 structure, with properties calculated at the GGA-PBE level.

It has space group Pmc2_1 (No. 26), with a = 4.9914 Å, b = 8.9111 Å, c = 6.9456 Å, α = 90.00°, β = 90.00° and γ = 90.00°. Symmetry generates all atoms from Pm at (0.0000, 0.0778, 0.0000), Pm at (0.0000, 0.3415, 0.3612), Pm at (0.5000, 0.1646, 0.6517), Tm at (0.5000, 0.4254, 0.0174), Cu at (0.0000, 0.3497, 0.7734) and Cu at (0.5000, 0.1580, 0.2409).

The formation energy comes out at -0.120 eV/atom. The value obtained for the density of states at the Fermi level is 12.3 states/eV/cell. The calculation puts the electronic total energy at -4.6064 eV per atom. The magnetization is 0.0000 μB per atom. As for the crystal system: orthorhombic.

Below is a geometry-optimized Sm2Mg3Tl3 structure, with properties calculated at the GGA-PBE level.

It has space group Pmmm (No. 47), with a = 4.8321 Å, b = 4.8945 Å, c = 8.8204 Å, α = 90.00°, β = 90.00° and γ = 90.00°. Symmetry generates all atoms from Sm at (0.0000, 0.0000, 0.2480), Mg at (0.0000, 0.5000, 0.5000), Mg at (0.5000, 0.5000, 0.2519), Tl at (0.0000, 0.5000, 0.0000), Tl at (0.5000, 0.0000, 0.0000) and Tl at (0.5000, 0.0000, 0.5000).

The formation energy comes out at -0.259 eV/atom. The value obtained for the density of states at the Fermi level is 4.4 states/eV/cell. The calculation puts the electronic total energy at -2.9237 eV per atom. The magnetization is 0.0000 μB per atom. As for the crystal system: orthorhombic.

Below is a geometry-optimized LiRuBr2 structure, with properties calculated at the GGA-PBE level.

It has space group Pmm2 (No. 25), with a = 3.5408 Å, b = 4.0108 Å, c = 5.3686 Å, α = 90.00°, β = 90.00° and γ = 90.00°. Symmetry generates all atoms from Li at (0.0000, 0.0000, 0.0000), Ru at (0.5000, 0.5000, 0.4609), Br at (0.0000, 0.0000, 0.4896) and Br at (0.5000, 0.5000, 0.9623).

The value obtained for the density of states at the Fermi level is 3.5 states/eV/cell. The calculation puts the electronic total energy at -3.7912 eV per atom. For the energy relative to the elements, uncorrected, the calculation gives -157 meV/atom. For the energy above the most stable polymorph in this dataset, the calculation gives 11 meV/atom. The magnetization is 0.1648 μB per atom. As for the crystal system: orthorhombic.

Below is a geometry-optimized ErUSe4 structure, with properties calculated at the GGA-PBE level.

It has space group P2_1/c (No. 14), with a = 6.9276 Å, b = 6.9322 Å, c = 6.9092 Å, α = 90.00°, β = 92.27° and γ = 90.00°. Symmetry generates all atoms from Er at (0.0000, 0.0000, 0.0000), U at (0.5000, 0.0000, 0.5000), Se at (0.1629, 0.1551, 0.3526) and Se at (0.3408, 0.6630, 0.3311).

The value obtained for the density of states at the Fermi level is 5.7 states/eV/cell. The calculation puts the electronic total energy at -6.1766 eV per atom. For the energy relative to the elements, uncorrected, the calculation gives -1212 meV/atom. For the energy above the most stable polymorph in this dataset, the calculation gives 161 meV/atom. The magnetization is 0.1664 μB per atom. As for the crystal system: monoclinic.

Below is a geometry-optimized K2PdS2 structure, with properties calculated at the GGA-PBE level.

It has space group Pbam (No. 55), with a = 6.9427 Å, b = 10.0995 Å, c = 3.5898 Å, α = 90.00°, β = 90.00° and γ = 90.00°. Symmetry generates all atoms from K at (0.0782, 0.1680, 0.0000), Pd at (0.0000, 0.5000, 0.0000) and S at (0.2026, 0.4291, 0.5000).

The calculation puts the electronic total energy at -4.0107 eV per atom. For the energy relative to the elements, uncorrected, the calculation gives -882 meV/atom. The magnetization is 0.0000 μB per atom. As for the crystal system: orthorhombic.